The following is a DFT calculation (PBE-GGA) of a geometry-optimized SrCr structure.

The total energy comes out at -4.904 eV per atom. For the energy of formation from the pure elements, the calculation gives 749 meV per atom. The space group is No. 129.

a = 3.304 Å, b = 3.304 Å, c = 9.386 Å
α = 90.00°, β = 90.00°, γ = 90.00°
Atoms (fractional coordinates):
Cr (0.250, 0.250, 0.036)
Cr (0.750, 0.750, 0.964)
Sr (0.250, 0.250, 0.704)
Sr (0.750, 0.750, 0.296)

The following is a DFT calculation (PBE-GGA) of a geometry-optimized Sr4Cr5 structure.

The total energy comes out at -5.081 eV per atom. The value obtained for the excess energy over the best structure of this formula in the dataset is 252 meV per atom. For the energy of formation from the pure elements, the calculation gives 1013 meV per atom. The space group is No. 193.

a = 9.832 Å, b = 9.832 Å, c = 6.790 Å
α = 90.00°, β = 90.00°, γ = 120.00°
Last column: magnetic moment on the atom in μB.
Atoms (fractional coordinates):
Sr (0.000, 0.000, 0.000)  0.01
Sr (0.000, 0.000, 0.500)  0.01
Sr (0.000, 0.364, 0.250)  0.06
Sr (0.636, 0.636, 0.250)  0.06
Sr (0.364, 0.000, 0.250)  0.06
Sr (0.000, 0.636, 0.750)  0.06
Sr (0.364, 0.364, 0.750)  0.06
Sr (0.636, 0.000, 0.750)  0.06
Cr (0.000, 0.689, 0.250)  4.03
Cr (0.311, 0.311, 0.250)  4.03
Cr (0.689, 0.000, 0.250)  4.03
Cr (0.000, 0.311, 0.750)  4.03
Cr (0.689, 0.689, 0.750)  4.03
Cr (0.311, 0.000, 0.750)  4.03
Cr (0.667, 0.333, 0.000)  3.99
Cr (0.333, 0.667, 0.500)  3.99
Cr (0.333, 0.667, 0.000)  3.99
Cr (0.667, 0.333, 0.500)  3.99

The following is a DFT calculation (PBE-GGA) of a geometry-optimized SrCr structure.

The total energy comes out at -4.440 eV per atom. For the energy of formation from the pure elements, the calculation gives 1213 meV per atom. The space group is No. 217.

a = 9.251 Å, b = 9.251 Å, c = 9.251 Å
α = 90.00°, β = 90.00°, γ = 90.00°
Last column: magnetic moment on the atom in μB.
Atoms (fractional coordinates):
Sr (0.284, 0.284, 0.284)  0.02
Sr (0.284, 0.716, 0.716)  0.02
Sr (0.716, 0.284, 0.716)  0.02
Sr (0.716, 0.716, 0.284)  0.02
Sr (0.784, 0.784, 0.784)  0.02
Sr (0.784, 0.216, 0.216)  0.02
Sr (0.216, 0.784, 0.216)  0.02
Sr (0.216, 0.216, 0.784)  0.02
Cr (0.083, 0.083, 0.083)  0.36
Cr (0.083, 0.917, 0.917)  0.36
Cr (0.917, 0.083, 0.917)  0.36
Cr (0.917, 0.917, 0.083)  0.36
Cr (0.583, 0.583, 0.583)  0.36
Cr (0.583, 0.417, 0.417)  0.36
Cr (0.417, 0.583, 0.417)  0.36
Cr (0.417, 0.417, 0.583)  0.36

The following is a DFT calculation (PBE-GGA) of a geometry-optimized SrCr structure.

The total energy comes out at -4.428 eV per atom. For the energy of formation from the pure elements, the calculation gives 1224 meV per atom. The space group is No. 176.

a = 12.476 Å, b = 12.476 Å, c = 3.192 Å
α = 90.00°, β = 90.00°, γ = 120.00°
Atoms (fractional coordinates):
Sr (0.855, 0.232, 0.250)
Sr (0.623, 0.855, 0.750)
Sr (0.768, 0.623, 0.250)
Sr (0.145, 0.768, 0.750)
Sr (0.377, 0.145, 0.250)
Sr (0.232, 0.377, 0.750)
Cr (0.563, 0.047, 0.250)
Cr (0.517, 0.563, 0.750)
Cr (0.953, 0.517, 0.250)
Cr (0.437, 0.953, 0.750)
Cr (0.483, 0.437, 0.250)
Cr (0.047, 0.483, 0.750)